w) ## ZrBi3Rh (PBE-GGA)

Data for an optimized crystal structure of ZrBi3Rh.

Cell and atoms, written as CIF:
```
data_ZrBi3Rh
_chemical_formula_sum 'Zr1 Bi3 Rh1'
_cell_length_a 5.271
_cell_length_b 5.271
_cell_length_c 5.271
_cell_angle_alpha 90.00
_cell_angle_beta 90.00
_cell_angle_gamma 90.00
_space_group_name_H-M_alt 'P m -3 m'
_space_group_IT_number 221
_space_group_name_Hall '-P 4 2 3'
loop_
_atom_site_label
_atom_site_fract_x
_atom_site_fract_y
_atom_site_fract_z
Zr1 0.000 0.000 0.000
Bi1 0.000 0.500 0.500
Rh1 0.500 0.500 0.500
```

Properties
- total moment (μB per formula unit) = 0.0
- DOS at the Fermi energy (states/eV/atom) = 0.641
- density (g cm⁻³) = 9.31


x) ## ZrBi3Rh (PBE-GGA)

Data for an optimized crystal structure of ZrBi3Rh.

Cell and atoms, written as CIF:
```
data_ZrBi3Rh
_chemical_formula_sum 'Zr1 Bi3 Rh1'
_cell_length_a 5.585
_cell_length_b 5.585
_cell_length_c 5.585
_cell_angle_alpha 90.00
_cell_angle_beta 90.00
_cell_angle_gamma 90.00
_space_group_name_H-M_alt 'P m -3 m'
_space_group_IT_number 221
_space_group_name_Hall '-P 4 2 3'
loop_
_atom_site_label
_atom_site_fract_x
_atom_site_fract_y
_atom_site_fract_z
Zr1 0.000 0.000 0.000
Bi1 0.000 0.000 0.500
Rh1 0.500 0.500 0.500
```

Properties
- total moment (μB per formula unit) = 0.3
- DOS at the Fermi energy (states/eV/atom) = 0.716
- density (g cm⁻³) = 7.83


What are the relative energies? In kJ/mol of atoms: w) 0.0; x) 39.5.


w) ## Zr3BiRh (PBE-GGA)

Data for an optimized crystal structure of Zr3BiRh.

Cell and atoms, written as CIF:
```
data_Zr3BiRh
_chemical_formula_sum 'Zr3 Bi1 Rh1'
_cell_length_a 5.054
_cell_length_b 5.054
_cell_length_c 5.054
_cell_angle_alpha 90.00
_cell_angle_beta 90.00
_cell_angle_gamma 90.00
_space_group_name_H-M_alt 'P m -3 m'
_space_group_IT_number 221
_space_group_name_Hall '-P 4 2 3'
loop_
_atom_site_label
_atom_site_fract_x
_atom_site_fract_y
_atom_site_fract_z
Zr1 0.000 0.000 0.500
Bi1 0.500 0.500 0.500
Rh1 0.000 0.000 0.000
```

Properties
- total moment (μB per formula unit) = 0.0
- DOS at the Fermi energy (states/eV/atom) = 0.630
- density (g cm⁻³) = 7.53


x) ## Zr3BiRh (PBE-GGA)

Data for an optimized crystal structure of Zr3BiRh.

Cell and atoms, written as CIF:
```
data_Zr3BiRh
_chemical_formula_sum 'Zr3 Bi1 Rh1'
_cell_length_a 5.316
_cell_length_b 5.316
_cell_length_c 5.316
_cell_angle_alpha 90.00
_cell_angle_beta 90.00
_cell_angle_gamma 90.00
_space_group_name_H-M_alt 'P m -3 m'
_space_group_IT_number 221
_space_group_name_Hall '-P 4 2 3'
loop_
_atom_site_label
_atom_site_fract_x
_atom_site_fract_y
_atom_site_fract_z
Zr1 0.000 0.000 0.500
Bi1 0.000 0.000 0.000
Rh1 0.500 0.500 0.500
```

Properties
- total moment (μB per formula unit) = 0.0
- DOS at the Fermi energy (states/eV/atom) = 1.322
- density (g cm⁻³) = 6.47


What are the relative energies? In kJ/mol of atoms: w) 0.0; x) 135.0.


w) ## BiRu3S (PBE-GGA)

Data for an optimized crystal structure of BiRu3S.

Cell and atoms, written as CIF:
```
data_BiRu3S
_chemical_formula_sum 'Bi1 Ru3 S1'
_cell_length_a 5.034
_cell_length_b 5.034
_cell_length_c 5.034
_cell_angle_alpha 90.00
_cell_angle_beta 90.00
_cell_angle_gamma 90.00
_space_group_name_H-M_alt 'P m -3 m'
_space_group_IT_number 221
_space_group_name_Hall '-P 4 2 3'
loop_
_atom_site_label
_atom_site_fract_x
_atom_site_fract_y
_atom_site_fract_z
Bi1 0.000 0.000 0.000
Ru1 0.000 0.000 0.500
S1 0.500 0.500 0.500
```

Properties
- total moment (μB per formula unit) = 5.2
- DOS at the Fermi energy (states/eV/atom) = 0.970
- density (g cm⁻³) = 7.09


x) ## BiRu3S (PBE-GGA)

Data for an optimized crystal structure of BiRu3S.

Cell and atoms, written as CIF:
```
data_BiRu3S
_chemical_formula_sum 'Bi1 Ru3 S1'
_cell_length_a 4.453
_cell_length_b 4.453
_cell_length_c 4.453
_cell_angle_alpha 90.00
_cell_angle_beta 90.00
_cell_angle_gamma 90.00
_space_group_name_H-M_alt 'P m -3 m'
_space_group_IT_number 221
_space_group_name_Hall '-P 4 2 3'
loop_
_atom_site_label
_atom_site_fract_x
_atom_site_fract_y
_atom_site_fract_z
Bi1 0.000 0.000 0.000
Ru1 0.000 0.500 0.500
S1 0.500 0.500 0.500
```

Properties
- total moment (μB per formula unit) = 0.0
- DOS at the Fermi energy (states/eV/atom) = 1.149
- density (g cm⁻³) = 10.24


What are the relative energies? In kJ/mol of atoms: w) 172.0; x) 0.0.


w) ## ScBi2Ru (PBE-GGA)

Data for an optimized crystal structure of ScBi2Ru.

Cell and atoms, written as CIF:
```
data_ScBi2Ru
_chemical_formula_sum 'Sc4 Bi8 Ru4'
_cell_length_a 7.065
_cell_length_b 7.065
_cell_length_c 7.065
_cell_angle_alpha 90.00
_cell_angle_beta 90.00
_cell_angle_gamma 90.00
_space_group_name_H-M_alt 'F m -3 m'
_space_group_IT_number 225
_space_group_name_Hall '-F 4 2 3'
loop_
_atom_site_label
_atom_site_fract_x
_atom_site_fract_y
_atom_site_fract_z
Sc1 0.000 0.000 0.000
Bi1 0.250 0.250 0.250
Ru1 0.000 0.000 0.500
```

Properties
- total moment (μB per formula unit) = 0.0
- DOS at the Fermi energy (states/eV/atom) = 1.568
- density (g cm⁻³) = 10.62


x) ## ScBi2Ru (PBE-GGA)

Data for an optimized crystal structure of ScBi2Ru.

Cell and atoms, written as CIF:
```
data_ScBi2Ru
_chemical_formula_sum 'Sc4 Bi8 Ru4'
_cell_length_a 4.477
_cell_length_b 4.477
_cell_length_c 19.706
_cell_angle_alpha 90.00
_cell_angle_beta 90.00
_cell_angle_gamma 90.00
_space_group_name_H-M_alt 'I -4 2 d'
_space_group_IT_number 122
_space_group_name_Hall 'I -4 2bw'
loop_
_atom_site_label
_atom_site_fract_x
_atom_site_fract_y
_atom_site_fract_z
Sc1 0.000 0.000 0.000
Bi1 0.234 0.250 0.625
Ru1 0.000 0.000 0.500
```

Properties
- total moment (μB per formula unit) = 0.0
- DOS at the Fermi energy (states/eV/atom) = 1.541
- density (g cm⁻³) = 9.48


What are the relative energies? In kJ/mol of atoms: w) 0.0; x) 21.8.


w) ## ScBiRu3 (PBE-GGA)

Data for an optimized crystal structure of ScBiRu3.

Cell and atoms, written as CIF:
```
data_ScBiRu3
_chemical_formula_sum 'Sc1 Bi1 Ru3'
_cell_length_a 4.898
_cell_length_b 4.898
_cell_length_c 4.898
_cell_angle_alpha 90.00
_cell_angle_beta 90.00
_cell_angle_gamma 90.00
_space_group_name_H-M_alt 'P m -3 m'
_space_group_IT_number 221
_space_group_name_Hall '-P 4 2 3'
loop_
_atom_site_label
_atom_site_fract_x
_atom_site_fract_y
_atom_site_fract_z
Sc1 0.000 0.000 0.000
Bi1 0.500 0.500 0.500
Ru1 0.000 0.500 0.500
```

Properties
- total moment (μB per formula unit) = 0.0
- DOS at the Fermi energy (states/eV/atom) = 1.219
- density (g cm⁻³) = 7.87


x) ## ScBiRu3 (PBE-GGA)

Data for an optimized crystal structure of ScBiRu3.

Cell and atoms, written as CIF:
```
data_ScBiRu3
_chemical_formula_sum 'Sc1 Bi1 Ru3'
_cell_length_a 4.668
_cell_length_b 4.668
_cell_length_c 4.668
_cell_angle_alpha 90.00
_cell_angle_beta 90.00
_cell_angle_gamma 90.00
_space_group_name_H-M_alt 'P m -3 m'
_space_group_IT_number 221
_space_group_name_Hall '-P 4 2 3'
loop_
_atom_site_label
_atom_site_fract_x
_atom_site_fract_y
_atom_site_fract_z
Sc1 0.000 0.000 0.000
Bi1 0.500 0.500 0.500
Ru1 0.000 0.000 0.500
```

Properties
- total moment (μB per formula unit) = 0.0
- DOS at the Fermi energy (states/eV/atom) = 0.896
- density (g cm⁻³) = 9.10


What are the relative energies? In kJ/mol of atoms: w) 19.8; x) 0.0.


w) ## Si2BiRu2 (PBE-GGA)

Data for an optimized crystal structure of Si2BiRu2.

Cell and atoms, written as CIF:
```
data_Si2BiRu2
_chemical_formula_sum 'Si4 Bi2 Ru4'
_cell_length_a 3.662
_cell_length_b 3.662
_cell_length_c 12.445
_cell_angle_alpha 90.00
_cell_angle_beta 90.00
_cell_angle_gamma 90.00
_space_group_name_H-M_alt 'I 4/m m m'
_space_group_IT_number 139
_space_group_name_Hall '-I 4 2'
loop_
_atom_site_label
_atom_site_fract_x
_atom_site_fract_y
_atom_site_fract_z
Si1 0.000 0.500 0.250
Bi1 0.000 0.000 0.000
Ru1 0.000 0.000 0.377
```

Properties
- total moment (μB per formula unit) = 0.0
- DOS at the Fermi energy (states/eV/atom) = 0.374
- density (g cm⁻³) = 9.30


x) ## Si2BiRu2 (PBE-GGA)

Data for an optimized crystal structure of Si2BiRu2.

Cell and atoms, written as CIF:
```
data_Si2BiRu2
_chemical_formula_sum 'Si4 Bi2 Ru4'
_cell_length_a 7.412
_cell_length_b 7.412
_cell_length_c 2.929
_cell_angle_alpha 90.00
_cell_angle_beta 90.00
_cell_angle_gamma 90.00
_space_group_name_H-M_alt 'P 4/m b m'
_space_group_IT_number 127
_space_group_name_Hall '-P 4 2ab'
loop_
_atom_site_label
_atom_site_fract_x
_atom_site_fract_y
_atom_site_fract_z
Si1 0.134 0.366 0.000
Bi1 0.000 0.000 0.500
Ru1 0.147 0.647 0.500
```

Properties
- total moment (μB per formula unit) = 0.0
- DOS at the Fermi energy (states/eV/atom) = 0.490
- density (g cm⁻³) = 9.65


What are the relative energies? In kJ/mol of atoms: w) 0.0; x) 18.1.